(1)
SnCl | Alexandria via LeMat-Bulk | PBE | optimized geometry; energy = -2.932 eV/atom; raw formation energy = -0.01 eV per atom
1.0
6.775 0.000 0.000
0.000 6.775 0.000
0.000 0.000 6.775
Cl Sn
4 4
direct
0.750 0.250 0.750
0.750 0.750 0.250
0.250 0.750 0.750
0.250 0.250 0.250
0.000 0.000 0.000
0.500 0.500 0.000
0.500 0.000 0.500
0.000 0.500 0.500



(2)
RbMgIn2 | Alexandria via LeMat-Bulk | PBE | optimized geometry; energy = -1.872 eV/atom; ΔE_f = 0.138 eV per atom
1.0
-1.187 -0.994 5.468
-5.293 -1.504 -1.423
-0.175 -10.986 0.918
In Mg Rb
4 2 2
direct
0.450 0.125 0.250
0.300 0.625 0.250
0.375 0.550 0.750
0.875 0.700 0.750
0.250 0.750 0.500
0.500 0.500 0.000
0.000 0.000 0.000
0.750 0.250 0.500



(3)
BaEuZnAs | Alexandria via LeMat-Bulk | PBE | optimized geometry; energy = -5.116 eV/atom; ΔE_f = -0.585 eV per atom
1.0
-3.213 -2.881 -3.433
1.349 -5.173 -1.349
-2.993 -4.218 1.912
Zn Eu Ba As
1 1 1 1
direct
0.000 0.000 0.000
0.750 0.750 0.750
0.250 0.250 0.250
0.500 0.500 0.500